No. 1
Material: Cs2TbGaO4
Method: DFT, GGA-PBE
State: relaxed

```
16
Lattice="5.581 0.000 0.000 2.791 6.476 0.000 2.791 0.000 11.744" Properties=species:S:1:pos:R:3 pbc="T T T"
Ga 4.186 3.238 5.872
Ga 2.791 0.000 0.000
Tb 0.000 0.000 0.000
Tb 6.976 3.238 5.872
Cs 6.976 3.238 1.650
Cs 2.791 0.000 7.521
Cs 6.976 3.238 10.094
Cs 5.581 0.000 4.222
O 9.586 5.367 10.777
O 4.005 1.109 0.966
O 5.400 4.347 4.906
O 2.971 2.129 4.906
O 5.400 2.129 6.838
O 4.367 1.109 10.777
O 4.367 5.367 0.966
O 8.552 4.347 6.838
```

## Properties
Formation energy from raw total energies (kJ/mol of atoms): -189.11
SG: Fddd

---

No. 2
Material: Pm2MgZn
Method: DFT, GGA-PBE
State: relaxed

```
4
Lattice="5.306 0.000 0.000 2.653 4.595 0.000 2.653 1.532 4.333" Properties=species:S:1:pos:R:3 pbc="T T T"
Pm 2.653 1.532 1.083
Pm 7.960 4.595 3.249
Zn 5.306 3.064 2.166
Mg 0.000 0.000 0.000
```

## Properties
SG: Fm-3m
Excess energy over the best structure of this formula in the dataset (meV per atom): 29

---

No. 3
Material: BaThCu2Ge2
Method: DFT, GGA-PBE
State: relaxed

```
6
Lattice="4.367 0.000 0.000 -2.183 3.782 0.000 0.000 0.000 8.608" Properties=species:S:1:pos:R:3 pbc="T T T"
Ge 2.183 1.261 6.141
Ge 0.000 2.521 2.467
Ba 0.000 0.000 0.000
Th 0.000 0.000 4.304
Cu 0.000 2.521 6.133
Cu 2.183 1.261 2.475
```

## Properties
Raw total energy (eV/atom): -5.004
SG: P-3m1

---

No. 4
Material: Np2MnSi2Ru5
Method: DFT, GGA-PBE
State: relaxed

```
20
Lattice="3.258 0.000 0.000 0.000 9.931 0.000 0.000 0.000 9.931" Properties=species:S:1:pos:R:3 pbc="T T T"
Mn 0.000 4.965 4.965
Mn 0.000 0.000 0.000
Ru 1.629 7.870 9.258
Ru 1.629 0.000 4.965
Ru 1.629 2.904 5.639
Ru 1.629 5.639 7.027
Ru 1.629 4.965 0.000
Ru 1.629 9.258 2.061
Ru 1.629 4.292 2.904
Ru 1.629 7.027 4.292
Ru 1.629 0.673 7.870
Ru 1.629 2.061 0.673
Np 0.000 1.726 3.240
Np 0.000 6.691 1.726
Np 0.000 3.240 8.205
Np 0.000 8.205 6.691
Si 0.000 1.260 6.225
Si 0.000 8.671 3.706
Si 0.000 3.706 1.260
Si 0.000 6.225 8.671
```

## Properties
Formation energy from raw total energies (kJ/mol of atoms): -23.68
SG: P4/mbm

---

No. 5
Material: La12SmEr5
Method: DFT, GGA-PBE
State: relaxed

```
18
Lattice="5.513 3.176 0.187 -5.513 3.176 0.187 0.000 1.038 18.027" Properties=species:S:1:pos:R:3 pbc="T T T"
La 0.000 1.410 11.973
La 0.000 5.980 6.428
La 1.839 2.805 6.238
La -1.850 5.111 3.261
La 0.000 1.954 3.074
La 1.850 2.280 15.141
La -1.850 2.280 15.141
La 0.000 5.437 15.327
La -1.839 2.805 6.238
La -1.839 4.586 12.163
La 1.850 5.111 3.261
La 1.839 4.586 12.163
Er 1.838 3.176 0.187
Er 3.677 3.695 9.201
Er -3.677 3.695 9.201
Er 0.000 3.695 9.201
Er -1.838 3.176 0.187
Sm 0.000 0.000 0.000
```

## Properties
Raw total energy (eV/atom): -4.798
SG: C2/m

---

No. 6
Material: Tb2FeCuC
Method: DFT, GGA-PBE
State: relaxed

```
5
Lattice="-1.574 3.025 -1.250 -4.215 -1.241 2.305 1.493 2.450 4.049" Properties=species:S:1:pos:R:3 pbc="T T T"
Tb -2.108 -0.621 1.153
Tb 0.746 1.225 2.024
Fe -0.787 1.512 -0.625
Cu -2.148 2.117 2.552
C 0.000 0.000 0.000
```

## Properties
Raw total energy (eV/atom): -6.463
SG: P4/mmm

---

Copy entry 5 word for word.
Material: La12SmEr5
Method: DFT, GGA-PBE
State: relaxed

```
18
Lattice="5.513 3.176 0.187 -5.513 3.176 0.187 0.000 1.038 18.027" Properties=species:S:1:pos:R:3 pbc="T T T"
La 0.000 1.410 11.973
La 0.000 5.980 6.428
La 1.839 2.805 6.238
La -1.850 5.111 3.261
La 0.000 1.954 3.074
La 1.850 2.280 15.141
La -1.850 2.280 15.141
La 0.000 5.437 15.327
La -1.839 2.805 6.238
La -1.839 4.586 12.163
La 1.850 5.111 3.261
La 1.839 4.586 12.163
Er 1.838 3.176 0.187
Er 3.677 3.695 9.201
Er -3.677 3.695 9.201
Er 0.000 3.695 9.201
Er -1.838 3.176 0.187
Sm 0.000 0.000 0.000
```

## Properties
Raw total energy (eV/atom): -4.798
SG: C2/m